VASP calculation (PBE-GGA) on a relaxed LiOs3O8 crystal.

Calculated values
- crystal system = monoclinic
- uncorrected energy (eV per atom) = -7.27
- E_form (uncorrected) (eV per atom) = -1.002
- Fermi-level density of states (states/eV/f.u.) = 4.23
- total magnetic moment (μB per cell) = 0.0

a b c (Å): 12.9493 3.8901 6.4416
angles (deg): 90.00 106.82 90.00
Space group Cm (No. 8)
One atom of each set of equivalent atoms:
Li 0.0000 0.0000 0.0000 (multiplicity 2)
Os 0.0791 0.0000 0.5841 (multiplicity 2)
Os 0.2924 0.0000 0.9821 (multiplicity 2)
Os 0.3881 0.0000 0.5835 (multiplicity 2)
O 0.0467 0.5000 0.5925 (multiplicity 2)
O 0.0688 0.0000 0.3059 (multiplicity 2)
O 0.1346 0.0000 0.8994 (multiplicity 2)
O 0.2475 0.0000 0.6604 (multiplicity 2)
O 0.2965 0.5000 0.9833 (multiplicity 2)
O 0.3359 0.0000 0.2830 (multiplicity 2)
O 0.4273 0.5000 0.5930 (multiplicity 2)
O 0.4341 0.0000 0.9116 (multiplicity 2)

VASP calculation (PBE-GGA) on a relaxed Ba3Th crystal.

Calculated values
- calculated formation energy (meV per atom) = 427
- crystal system = hexagonal
- uncorrected energy (eV per atom) = -2.87
- Fermi-level density of states (states/eV/f.u.) = 7.80
- total magnetic moment (μB per cell) = 0.9

a b c (Å): 8.4064 8.4064 6.5012
angles (deg): 90.00 90.00 120.00
Space group P6_3/mmc (No. 194)
One atom of each set of equivalent atoms:
Ba 0.1758 0.3516 0.2500 (multiplicity 6)
Th 0.3333 0.6667 0.7500 (multiplicity 2)

VASP calculation (PBE-GGA) on a relaxed AlSiTcPd crystal.

Calculated values
- crystal system = cubic
- uncorrected energy (eV per atom) = -6.67
- E_form (uncorrected) (eV per atom) = -0.491
- Fermi-level density of states (states/eV/f.u.) = 1.46
- total magnetic moment (μB per cell) = 0.0

a b c (Å): 6.0328 6.0328 6.0328
angles (deg): 90.00 90.00 90.00
Space group F-43m (No. 216)
One atom of each set of equivalent atoms:
Al 0.0000 0.0000 0.0000 (multiplicity 4)
Si 0.0000 0.0000 0.5000 (multiplicity 4)
Tc 0.2500 0.2500 0.2500 (multiplicity 4)
Pd 0.2500 0.2500 0.7500 (multiplicity 4)

VASP calculation (PBE-GGA) on a relaxed Zr2NiSn2 crystal.

Calculated values
- calculated formation energy (meV per atom) = -334
- crystal system = tetragonal
- uncorrected energy (eV per atom) = -6.51
- Fermi-level density of states (states/eV/f.u.) = 3.65
- total magnetic moment (μB per cell) = 0.0

a b c (Å): 6.7158 6.7158 4.6004
angles (deg): 90.00 90.00 90.00
Space group P4/mbm (No. 127)
One atom of each set of equivalent atoms:
Zr 0.1634 0.3366 0.0000 (multiplicity 4)
Ni 0.0000 0.0000 0.5000 (multiplicity 2)
Sn 0.1494 0.6494 0.5000 (multiplicity 4)

VASP calculation (PBE-GGA) on a relaxed Al5Os3 crystal.

Calculated values
- calculated formation energy (meV per atom) = -192
- crystal system = hexagonal
- uncorrected energy (eV per atom) = -6.74
- Fermi-level density of states (states/eV/f.u.) = 4.90
- total magnetic moment (μB per cell) = 0.0

a b c (Å): 7.4479 7.4479 5.0146
angles (deg): 90.00 90.00 120.00
Space group P6_3/mcm (No. 193)
One atom of each set of equivalent atoms:
Al 0.0000 0.2452 0.2500 (multiplicity 6)
Al 0.3333 0.6667 0.0000 (multiplicity 4)
Os 0.0000 0.3911 0.7500 (multiplicity 6)

VASP calculation (PBE-GGA) on a relaxed Hf5Sn crystal.

Calculated values
- calculated formation energy (meV per atom) = -94
- crystal system = monoclinic
- uncorrected energy (eV per atom) = -9.06
- Fermi-level density of states (states/eV/f.u.) = 7.15
- total magnetic moment (μB per cell) = 0.0

a b c (Å): 5.4448 3.2163 7.6537
angles (deg): 90.00 91.38 90.00
Space group P2/m (No. 10)
One atom of each set of equivalent atoms:
Hf 0.0000 0.0000 0.0000 (multiplicity 1)
Hf 0.1697 0.5000 0.3439 (multiplicity 2)
Hf 0.3354 0.0000 0.6675 (multiplicity 2)
Sn 0.5000 0.5000 0.0000 (multiplicity 1)

VASP calculation (PBE-GGA) on a relaxed Ta2MnIrI crystal.

Calculated values
- crystal system = tetragonal
- uncorrected energy (eV per atom) = -7.54
- E_form (uncorrected) (eV per atom) = 1.114
- Fermi-level density of states (states/eV/f.u.) = 5.62
- total magnetic moment (μB per cell) = 0.0

a b c (Å): 4.7136 4.7136 4.5141
angles (deg): 90.00 90.00 90.00
Space group P4/mmm (No. 123)
One atom of each set of equivalent atoms:
Ta 0.0000 0.5000 0.0000 (multiplicity 2)
Mn 0.0000 0.0000 0.0000 (multiplicity 1)
Ir 0.0000 0.0000 0.5000 (multiplicity 1)
I 0.5000 0.5000 0.5000 (multiplicity 1)

VASP calculation (PBE-GGA) on a relaxed CaZn2GaPt4 crystal.

Calculated values
- calculated formation energy (meV per atom) = -605
- crystal system = trigonal
- uncorrected energy (eV per atom) = -4.57
- Fermi-level density of states (states/eV/f.u.) = 4.64
- total magnetic moment (μB per cell) = 0.0

a b c (Å): 4.3564 4.3564 25.3811
angles (deg): 90.00 90.00 120.00
Space group R-3m (No. 166, hexagonal axes)
One atom of each set of equivalent atoms:
Ca 0.0000 0.0000 0.0000 (multiplicity 3)
Zn 0.0000 0.0000 0.2478 (multiplicity 6)
Ga 0.0000 0.0000 0.5000 (multiplicity 3)
Pt 0.0000 0.0000 0.1319 (multiplicity 6)
Pt 0.0000 0.0000 0.4031 (multiplicity 6)

VASP calculation (PBE-GGA) on a relaxed Cr2OsCl crystal.

Calculated values
- crystal system = orthorhombic
- uncorrected energy (eV per atom) = -7.43
- E_form (uncorrected) (eV per atom) = 0.647
- Fermi-level density of states (states/eV/f.u.) = 3.02
- total magnetic moment (μB per cell) = 1.5

a b c (Å): 2.8093 4.2643 9.0093
angles (deg): 90.00 90.00 90.00
Space group Imm2 (No. 44)
One atom of each set of equivalent atoms:
Cr 0.0000 0.0000 0.0000 (multiplicity 2)
Cr 0.0000 0.5000 0.2046 (multiplicity 2)
Os 0.0000 0.5000 0.7481 (multiplicity 2)
Cl 0.0000 0.0000 0.4979 (multiplicity 2)

VASP calculation (PBE-GGA) on a relaxed TlCu2Br crystal.

Calculated values
- crystal system = tetragonal
- uncorrected energy (eV per atom) = -2.78
- E_form (uncorrected) (eV per atom) = 0.279
- Fermi-level density of states (states/eV/f.u.) = 0.88
- total magnetic moment (μB per cell) = 0.0

a b c (Å): 3.7759 3.7759 12.1131
angles (deg): 90.00 90.00 90.00
Space group I-4m2 (No. 119)
One atom of each set of equivalent atoms:
Tl 0.0000 0.0000 0.0000 (multiplicity 2)
Cu 0.0000 0.0000 0.5000 (multiplicity 2)
Cu 0.0000 0.5000 0.2500 (multiplicity 2)
Br 0.0000 0.5000 0.7500 (multiplicity 2)

VASP calculation (PBE-GGA) on a relaxed PrNi9Sn2 crystal.

Calculated values
- calculated formation energy (meV per atom) = -192
- crystal system = trigonal
- uncorrected energy (eV per atom) = -5.59
- Fermi-level density of states (states/eV/f.u.) = 13.58
- total magnetic moment (μB per cell) = 0.7

a b c (Å): 4.9856 4.9856 23.6060
angles (deg): 90.00 90.00 120.00
Space group R-3m (No. 166, hexagonal axes)
One atom of each set of equivalent atoms:
Pr 0.0000 0.0000 0.0000 (multiplicity 3)
Ni 0.0000 0.0000 0.3337 (multiplicity 6)
Ni 0.0000 0.0000 0.5000 (multiplicity 3)
Ni 0.0043 0.5021 0.9144 (multiplicity 18)
Sn 0.0000 0.0000 0.1394 (multiplicity 6)

VASP calculation (PBE-GGA) on a relaxed Tb2Dy3ScS6 crystal.

Calculated values
- crystal system = monoclinic
- uncorrected energy (eV per atom) = -6.48
- E_form (uncorrected) (eV per atom) = -1.968
- Fermi-level density of states (states/eV/f.u.) = 5.39
- total magnetic moment (μB per cell) = 0.0

a b c (Å): 16.8852 3.8742 7.7890
angles (deg): 90.00 103.35 90.00
Space group C2/m (No. 12)
One atom of each set of equivalent atoms:
Tb 0.1662 0.0000 0.3331 (multiplicity 4)
Dy 0.0000 0.5000 0.5000 (multiplicity 2)
Dy 0.1685 0.0000 0.8346 (multiplicity 4)
Sc 0.0000 0.5000 0.0000 (multiplicity 2)
S 0.0016 0.0000 0.7610 (multiplicity 4)
S 0.1618 0.5000 0.0796 (multiplicity 4)
S 0.1661 0.5000 0.5848 (multiplicity 4)

VASP calculation (PBE-GGA) on a relaxed NaY6S8 crystal.

Calculated values
- crystal system = trigonal
- uncorrected energy (eV per atom) = -6.67
- E_form (uncorrected) (eV per atom) = -1.796
- Fermi-level density of states (states/eV/f.u.) = 8.20
- total magnetic moment (μB per cell) = 1.9

a b c (Å): 11.6281 11.6281 11.7769
angles (deg): 90.00 90.00 120.00
Space group R-3 (No. 148, hexagonal axes)
One atom of each set of equivalent atoms:
Na 0.0000 0.0000 0.0000 (multiplicity 3)
Y 0.0016 0.8185 0.3709 (multiplicity 18)
S 0.0000 0.0000 0.2290 (multiplicity 6)
S 0.0069 0.7396 0.5902 (multiplicity 18)

VASP calculation (PBE-GGA) on a relaxed BaHgSe2 crystal.

Calculated values
- crystal system = monoclinic
- uncorrected energy (eV per atom) = -3.31
- E_form (uncorrected) (eV per atom) = -1.014
- Fermi-level density of states (states/eV/f.u.) = 0.00
- total magnetic moment (μB per cell) = 0.0

a b c (Å): 10.7659 4.4513 12.7026
angles (deg): 90.00 122.62 90.00
Space group P2_1/c (No. 14)
One atom of each set of equivalent atoms:
Ba 0.1548 0.0040 0.1868 (multiplicity 4)
Hg 0.3998 0.5053 0.1036 (multiplicity 4)
Se 0.1183 0.0037 0.4307 (multiplicity 4)
Se 0.4219 0.5038 0.3375 (multiplicity 4)

VASP calculation (PBE-GGA) on a relaxed CuBC3 crystal.

Calculated values
- calculated formation energy (meV per atom) = 2384
- crystal system = cubic
- uncorrected energy (eV per atom) = -5.31
- Fermi-level density of states (states/eV/f.u.) = 1.70
- total magnetic moment (μB per cell) = 0.0

a b c (Å): 3.4532 3.4532 3.4532
angles (deg): 90.00 90.00 90.00
Space group Pm-3m (No. 221)
One atom of each set of equivalent atoms:
Cu 0.0000 0.0000 0.0000 (multiplicity 1)
B 0.5000 0.5000 0.5000 (multiplicity 1)
C 0.0000 0.5000 0.5000 (multiplicity 3)

VASP calculation (PBE-GGA) on a relaxed Zr2AsO crystal.

Calculated values
- crystal system = trigonal
- uncorrected energy (eV per atom) = -8.09
- E_form (uncorrected) (eV per atom) = -1.417
- Fermi-level density of states (states/eV/f.u.) = 2.75
- total magnetic moment (μB per cell) = 0.0

a b c (Å): 4.1862 4.1862 19.0057
angles (deg): 90.00 90.00 120.00
Space group R-3m (No. 166, hexagonal axes)
One atom of each set of equivalent atoms:
Zr 0.0000 0.0000 0.1043 (multiplicity 6)
As 0.0000 0.0000 0.5000 (multiplicity 3)
O 0.0000 0.0000 0.0000 (multiplicity 3)

VASP calculation (PBE-GGA) on a relaxed InOsCl2 crystal.

Calculated values
- crystal system = cubic
- uncorrected energy (eV per atom) = -3.49
- E_form (uncorrected) (eV per atom) = 0.927
- Fermi-level density of states (states/eV/f.u.) = 2.02
- total magnetic moment (μB per cell) = 12.8

a b c (Å): 7.0105 7.0105 7.0105
angles (deg): 90.00 90.00 90.00
Space group Fm-3m (No. 225)
One atom of each set of equivalent atoms:
In 0.0000 0.0000 0.0000 (multiplicity 4)
Os 0.0000 0.0000 0.5000 (multiplicity 4)
Cl 0.2500 0.2500 0.2500 (multiplicity 8)

VASP calculation (PBE-GGA) on a relaxed Ca3Ni crystal.

Calculated values
- calculated formation energy (meV per atom) = 79
- crystal system = hexagonal
- uncorrected energy (eV per atom) = -2.87
- Fermi-level density of states (states/eV/f.u.) = 2.62
- total magnetic moment (μB per cell) = 0.0

a b c (Å): 3.8662 3.8662 10.1088
angles (deg): 90.00 90.00 120.00
Space group P-6m2 (No. 187)
One atom of each set of equivalent atoms:
Ca 0.0000 0.0000 0.0000 (multiplicity 1)
Ca 0.3333 0.6667 0.3266 (multiplicity 2)
Ni 0.0000 0.0000 0.5000 (multiplicity 1)

VASP calculation (PBE-GGA) on a relaxed Zr2PtW2 crystal.

Calculated values
- calculated formation energy (meV per atom) = 575
- crystal system = tetragonal
- uncorrected energy (eV per atom) = -9.23
- Fermi-level density of states (states/eV/f.u.) = 4.72
- total magnetic moment (μB per cell) = 0.0

a b c (Å): 6.9643 6.9643 3.9969
angles (deg): 90.00 90.00 90.00
Space group P4/mbm (No. 127)
One atom of each set of equivalent atoms:
Zr 0.1439 0.3561 0.0000 (multiplicity 4)
Pt 0.0000 0.0000 0.0000 (multiplicity 2)
W 0.1645 0.6645 0.5000 (multiplicity 4)

VASP calculation (PBE-GGA) on a relaxed Al2Tl crystal.

Calculated values
- calculated formation energy (meV per atom) = 246
- crystal system = orthorhombic
- uncorrected energy (eV per atom) = -3.04
- Fermi-level density of states (states/eV/f.u.) = 1.40
- total magnetic moment (μB per cell) = 0.0

a b c (Å): 3.0309 3.9927 11.1024
angles (deg): 90.00 90.00 90.00
Space group Immm (No. 71)
One atom of each set of equivalent atoms:
Al 0.0000 0.0000 0.1960 (multiplicity 4)
Tl 0.0000 0.0000 0.5000 (multiplicity 2)